# CsAg2IBr6

Crystalline CsAg2IBr6 at its relaxed geometry (PBE-GGA, Alexandria via LeMat-Bulk).

```
CsAg2IBr6
1.0
7.6719 0.4976 0.3431
4.2386 7.4408 -0.8826
4.2523 1.6373 7.3027
Cs Ag I Br
1 2 1 6
Cartesian
12.1071 7.6447 4.1253
7.9906 4.6724 3.2009
8.5549 9.0085 6.2741
4.0259 3.0261 0.5046
7.8642 2.3570 1.9728
6.3097 6.4224 0.1407
10.0481 5.4415 1.8276
8.2729 7.1005 4.3700
9.9262 3.1020 6.3225
5.9873 3.8824 4.4883
```

Values from the calculation:
electronic total energy = -22.97 eV per cell
formation energy (no corrections) = -482 meV/atom
symmetry = No. 5

=====

# CsAgIBr6

Crystalline CsAgIBr6 at its relaxed geometry (PBE-GGA, Alexandria via LeMat-Bulk).

```
CsAgIBr6
1.0
-3.7898 5.9743 -6.1562
-9.0995 0.2556 -11.3397
-2.5452 0.7070 4.5260
Cs Ag I Br
1 1 1 6
Cartesian
-9.0765 0.4642 -11.3595
-9.8740 4.4384 -9.3951
-5.5638 2.4500 -3.5695
-8.0324 6.2116 -8.6539
-11.6923 2.8200 -10.1619
-6.9831 4.4152 -4.6632
-11.2167 6.4780 -10.4526
-8.5150 2.5544 -8.3388
-3.6727 4.1443 -2.7807
```

Values from the calculation:
electronic total energy = -19.55 eV per cell
formation energy (no corrections) = -473 meV/atom
symmetry = No. 1

=====

# CsAgI2Br6

Crystalline CsAgI2Br6 at its relaxed geometry (PBE-GGA, Alexandria via LeMat-Bulk).

```
CsAgI2Br6
1.0
-8.9472 -1.7163 -5.3714
6.0824 -6.1422 2.3791
2.4563 -0.8301 8.1394
Cs Ag I Br
1 1 2 6
Cartesian
-3.9030 -5.0070 0.1847
1.2669 -1.1160 7.3285
0.1694 -4.2225 0.1692
-0.2538 -4.2942 4.7232
2.4418 -7.5127 4.9559
-3.6570 -1.2518 0.0776
-0.1865 -6.8743 -0.5291
0.5692 -1.6279 0.7639
-4.5408 -5.5318 -3.5242
1.4690 -2.1584 4.8509
```

Values from the calculation:
electronic total energy = -21.42 eV per cell
formation energy (no corrections) = -458 meV/atom
symmetry = No. 1

=====

# CsAg2I2Br

Crystalline CsAg2I2Br at its relaxed geometry (PBE-GGA, Alexandria via LeMat-Bulk).

```
CsAg2I2Br
1.0
5.9780 0.0000 0.0000
0.0000 9.2837 0.5343
0.0000 -2.8738 8.8363
Cs Ag I Br
2 4 4 2
Cartesian
4.4835 0.4830 6.5522
1.4945 5.9270 2.8185
2.9892 1.1291 1.6671
5.9778 1.1291 1.6671
0.0002 5.2809 7.7035
2.9888 5.2809 7.7035
1.4945 0.2362 3.8715
1.4945 2.9012 7.7290
4.4835 6.1737 5.4991
4.4835 3.5087 1.6417
1.4945 -1.6781 8.0254
4.4835 8.0880 1.3452
```

Values from the calculation:
electronic total energy = -31.54 eV per cell
formation energy (no corrections) = -740 meV/atom
symmetry = No. 11

=====

# CsAgI2Br

Crystalline CsAgI2Br at its relaxed geometry (PBE-GGA, Alexandria via LeMat-Bulk).

```
CsAgI2Br
1.0
5.8108 0.0000 0.0000
0.0000 5.8108 0.0000
0.0000 0.0000 5.6425
Cs I Br Ag
1 2 1 1
Cartesian
2.9054 2.9054 2.8212
0.0000 2.9054 0.0000
2.9054 0.0000 0.0000
0.0000 0.0000 2.8212
0.0000 0.0000 0.0000
```

Values from the calculation:
electronic total energy = -12.27 eV per cell
formation energy (no corrections) = -759 meV/atom
symmetry = No. 123

=====

# CsAg2IBr8

Crystalline CsAg2IBr8 at its relaxed geometry (PBE-GGA, Alexandria via LeMat-Bulk).

```
CsAg2IBr8
1.0
7.2465 -0.9377 3.0320
-0.8633 7.0224 -0.1660
3.8029 0.2755 11.0987
Cs Ag I Br
1 2 1 8
Cartesian
1.9015 0.1378 5.5493
4.2205 3.3850 8.2403
5.9656 2.9752 5.7244
0.0000 0.0000 0.0000
0.5707 5.5401 1.6251
3.2294 3.1893 2.6377
5.9620 0.3146 5.1097
9.6154 0.8201 12.3395
6.9567 3.1709 11.3269
4.2241 6.0456 8.8550
3.3566 3.5782 5.6266
6.8295 2.7820 8.3380
```

Values from the calculation:
electronic total energy = -26.65 eV per cell
formation energy (no corrections) = -430 meV/atom
symmetry = No. 2

=====

# Cs3AgI2Br9

Crystalline Cs3AgI2Br9 at its relaxed geometry (PBE-GGA, Alexandria via LeMat-Bulk).

```
Cs3AgI2Br9
1.0
8.2181 0.0000 0.0000
-4.1091 7.1171 0.0000
0.0000 0.0000 10.0151
Cs Ag I Br
3 1 2 9
Cartesian
0.0000 4.7447 6.3737
0.0000 0.0000 0.0000
4.1091 2.3724 3.6413
0.0000 0.0000 5.0075
0.0000 4.7447 1.6617
4.1091 2.3724 8.3534
6.2958 1.1099 6.6039
4.1091 4.8973 6.6039
1.9224 1.1099 6.6039
2.1867 6.0072 3.4112
0.0000 2.2198 3.4112
-2.1867 6.0072 3.4112
4.1091 0.0000 0.0000
-2.0545 3.5586 0.0000
2.0545 3.5586 0.0000
```

Values from the calculation:
electronic total energy = -35.20 eV per cell
formation energy (no corrections) = -775 meV/atom
symmetry = No. 164

=====

# Cs2AgIBr4

Crystalline Cs2AgIBr4 at its relaxed geometry (PBE-GGA, Alexandria via LeMat-Bulk).

```
Cs2AgIBr4
1.0
-2.5774 10.0026 1.9246
-10.3234 1.8033 -0.7585
5.7268 -8.0231 7.9848
Cs Ag I Br
4 2 2 8
Cartesian
-1.2887 5.0013 0.9623
1.5747 0.9898 4.9547
2.8634 -4.0115 3.9924
-6.4503 5.9030 0.5831
-5.1617 0.9017 -0.3792
-4.8757 6.8928 5.5377
-3.5870 1.8914 4.5755
3.1494 1.9795 9.9093
-9.3272 3.8909 0.6734
-1.2786 3.3018 4.2883
-5.8953 0.4810 4.8626
2.1532 -0.1079 8.4776
-8.8220 8.6547 1.6679
-6.8472 5.9090 4.3572
-0.3268 -2.1262 4.7937
1.6481 -4.8719 7.4830
```

Values from the calculation:
electronic total energy = -41.17 eV per cell
formation energy (no corrections) = -973 meV/atom
symmetry = No. 15